[1]
This record from OQMD via LeMat-Bulk describes a geometry-optimized HfNb2Te2 structure. The functional is PBE-GGA.

Output
The space group is I4/mmm (139). For the volume, the calculation gives 23.7 Å³/atom. The value obtained for the excess energy over the best structure of this formula in the dataset is 765 meV per atom. The value obtained for the energy is -6.908 eV per atom.

Lattice parameters (Å, degrees): 6.033 6.033 6.033 132.17 132.17 69.96
Sites, in units of the cell vectors:
Te: 0.359 0.359 0.000
Te: 0.641 0.641 0.000
Nb: 0.250 0.750 0.500
Nb: 0.750 0.250 0.500
Hf: 0.000 0.000 0.000

---

[2]
This record from OQMD via LeMat-Bulk describes a geometry-optimized CsReNO structure. The functional is PBE-GGA.

Output
The space group is Pmc2_1 (26). For the volume, the calculation gives 20.2 Å³/atom. The value obtained for the excess energy over the best structure of this formula in the dataset is 179 meV per atom. The value obtained for the energy is -7.033 eV per atom.

Lattice parameters (Å, degrees): 3.430 6.719 7.024 90.00 90.00 90.00
Sites, in units of the cell vectors:
O: 0.500 0.783 0.949
O: 0.500 0.283 0.051
Cs: 0.000 0.999 0.660
Cs: 0.000 0.499 0.340
N: 0.000 0.960 0.229
N: 0.000 0.460 0.771
Re: 0.500 0.512 0.878
Re: 0.500 0.012 0.122

---

[3]
This record from OQMD via LeMat-Bulk describes a geometry-optimized NbI2 structure. The functional is PBE-GGA.

Output
The space group is Fd-3m (227). For the volume, the calculation gives 35.4 Å³/atom. The value obtained for the energy is -2.658 eV per atom.

Lattice parameters (Å, degrees): 6.694 6.694 6.694 60.00 60.00 60.00
Last column: magnetic moment on the atom in μB.
Sites, in units of the cell vectors:
I: 0.625 0.625 0.625  0.09
I: 0.625 0.625 0.125  0.09
I: 0.125 0.625 0.625  0.01
I: 0.625 0.125 0.625  0.03
Nb: 0.000 0.000 0.000  2.94
Nb: 0.250 0.250 0.250  2.94

---

[4]
This record from OQMD via LeMat-Bulk describes a geometry-optimized Dy2Y3Tm2Ni2Te2 structure. The functional is PBE-GGA.

Output
The space group is Imm2 (44). For the volume, the calculation gives 26.0 Å³/atom. The value obtained for the excess energy over the best structure of this formula in the dataset is 12 meV per atom. The value obtained for the energy is -5.676 eV per atom.

Lattice parameters (Å, degrees): 9.335 9.335 9.335 156.22 66.95 118.45
Sites, in units of the cell vectors:
Dy: 0.099 0.746 0.353
Dy: 0.393 0.746 0.647
Y: 0.413 0.098 0.316
Y: 0.782 0.098 0.684
Y: 0.477 0.477 0.000
Te: 0.743 0.243 0.500
Te: 0.140 0.140 0.000
Ni: 0.165 0.404 0.761
Ni: 0.644 0.404 0.239
Tm: 0.027 0.895 0.132
Tm: 0.763 0.895 0.868

---

[5]
This record from OQMD via LeMat-Bulk describes a geometry-optimized LuHfCuGe structure. The functional is PBE-GGA.

Output
The space group is F-43m (216). For the volume, the calculation gives 19.2 Å³/atom. The value obtained for the excess energy over the best structure of this formula in the dataset is 0 meV per atom. The value obtained for the energy is -5.454 eV per atom.

Lattice parameters (Å, degrees): 4.775 4.775 4.775 60.00 60.00 60.00
Sites, in units of the cell vectors:
Lu: 0.500 0.500 0.500
Cu: 0.750 0.750 0.750
Ge: 0.000 0.000 0.000
Hf: 0.250 0.250 0.250

---

[6]
This record from OQMD via LeMat-Bulk describes a geometry-optimized KTlWSe3 structure. The functional is PBE-GGA.

Output
The space group is Cmcm (63). For the volume, the calculation gives 30.3 Å³/atom. The value obtained for the energy is -4.737 eV per atom.

Lattice parameters (Å, degrees): 8.563 8.563 11.479 90.00 90.00 154.43
Last column: magnetic moment on the atom in μB.
Sites, in units of the cell vectors:
Se: 0.897 0.103 0.002  -0.02
Se: 0.493 0.507 0.750  -0.01
Se: 0.103 0.897 0.998  -0.02
Se: 0.103 0.897 0.502  -0.02
Se: 0.507 0.493 0.250  -0.01
Se: 0.897 0.103 0.498  -0.02
W: 0.500 0.500 0.500  1.48
W: 0.500 0.500 0.000  1.49
K: 0.164 0.836 0.750  0.00
K: 0.836 0.164 0.250  0.00
Tl: 0.861 0.139 0.750  0.00
Tl: 0.139 0.861 0.250  0.00